Record 1
A relaxed structure of BeHgGePt, computed with PBE-GGA.

Values from the calculation:
- Polymorph energy (0 for the lowest one): 0.1042 eV/atom

Cell: 4.549 4.549 4.549 Å, 60.00 60.00 60.00°
Fractional coordinates of all 4 atoms:
1 Be 0.000 0.000 0.000
2 Hg 0.750 0.750 0.750
3 Ge 0.250 0.250 0.250
4 Pt 0.500 0.500 0.500

Record 2
A relaxed structure of HoBeGe, computed with PBE-GGA.

Cell: 4.560 4.560 4.560 Å, 60.00 60.00 60.00°
Fractional coordinates of all 3 atoms:
1 Ho 0.000 0.000 0.000
2 Be 0.750 0.750 0.750
3 Ge 0.250 0.250 0.250

Record 3
A relaxed structure of LaHoBe2Ge2, computed with PBE-GGA.

Cell: 3.971 3.971 8.439 Å, 90.00 90.00 120.00°
Fractional coordinates of all 6 atoms:
1 La 0.000 0.000 0.000
2 Ho 0.000 0.000 0.500
3 Be 0.333 0.667 0.737
4 Be 0.667 0.333 0.263
5 Ge 0.333 0.667 0.266
6 Ge 0.667 0.333 0.734

Record 4
A relaxed structure of NdHoBe2Ge2, computed with PBE-GGA.

Cell: 3.952 3.952 8.284 Å, 90.00 90.00 120.00°
Fractional coordinates of all 6 atoms:
1 Nd 0.000 0.000 0.000
2 Ho 0.000 0.000 0.500
3 Be 0.333 0.667 0.259
4 Be 0.667 0.333 0.741
5 Ge 0.333 0.667 0.740
6 Ge 0.667 0.333 0.260

no.,total energy (eV/atom)
1,-3.321
2,-3.995
3,-5.008
4,-4.995